Record 1
# Ba3Mo | Alexandria via LeMat-Bulk | GGA-PBE | relaxed
data_Ba3Mo
_cell_length_a 12.257
_cell_length_b 12.257
_cell_length_c 12.257
_cell_angle_alpha 20.92
_cell_angle_beta 20.92
_cell_angle_gamma 20.92
_symmetry_space_group_name_H-M 'P 1'
_symmetry_Int_Tables_number 1
loop_
_symmetry_equiv_pos_as_xyz
'x,y,z'
loop_
_atom_site_label
_atom_site_type_symbol
_atom_site_fract_x
_atom_site_fract_y
_atom_site_fract_z
_atom_site_occupancy
Ba1 Ba 0.000 0.000 0.000 1
Ba2 Ba 0.226 0.226 0.226 1
Ba3 Ba 0.774 0.774 0.774 1
Mo1 Mo 0.500 0.500 0.500 1
# ΔE_f   0.903 eV/atom

---

Record 2
# PuNp3N6 | Alexandria via LeMat-Bulk | GGA-PBE | relaxed
data_PuNp3N6
_cell_length_a 6.704
_cell_length_b 6.704
_cell_length_c 6.704
_cell_angle_alpha 91.48
_cell_angle_beta 91.48
_cell_angle_gamma 91.48
_symmetry_space_group_name_H-M 'P 1'
_symmetry_Int_Tables_number 1
loop_
_symmetry_equiv_pos_as_xyz
'x,y,z'
loop_
_atom_site_label
_atom_site_type_symbol
_atom_site_fract_x
_atom_site_fract_y
_atom_site_fract_z
_atom_site_occupancy
Pu1 Pu 0.000 0.000 0.000 1
Pu2 Pu 0.500 0.500 0.500 1
Np1 Np 0.055 0.751 0.561 1
Np2 Np 0.249 0.439 0.945 1
Np3 Np 0.439 0.945 0.249 1
Np4 Np 0.561 0.055 0.751 1
Np5 Np 0.751 0.561 0.055 1
Np6 Np 0.945 0.249 0.439 1
N1 N 0.029 0.680 0.898 1
N2 N 0.102 0.971 0.320 1
N3 N 0.181 0.444 0.593 1
N4 N 0.320 0.102 0.971 1
N5 N 0.407 0.819 0.556 1
N6 N 0.444 0.593 0.181 1
N7 N 0.556 0.407 0.819 1
N8 N 0.593 0.181 0.444 1
N9 N 0.680 0.898 0.029 1
N10 N 0.819 0.556 0.407 1
N11 N 0.898 0.029 0.680 1
N12 N 0.971 0.320 0.102 1
# ΔE_f (raw)   -1081 meV per atom

---

Record 3
# Cs12Ag5Cl3 | Alexandria via LeMat-Bulk | GGA-PBE | relaxed
data_Cs12Ag5Cl3
_cell_length_a 18.752
_cell_length_b 18.752
_cell_length_c 18.752
_cell_angle_alpha 109.47
_cell_angle_beta 109.47
_cell_angle_gamma 109.47
_symmetry_space_group_name_H-M 'P 1'
_symmetry_Int_Tables_number 1
loop_
_symmetry_equiv_pos_as_xyz
'x,y,z'
loop_
_atom_site_label
_atom_site_type_symbol
_atom_site_fract_x
_atom_site_fract_y
_atom_site_fract_z
_atom_site_occupancy
Cs1 Cs 0.057 0.232 0.123 1
Cs2 Cs 0.057 0.325 0.934 1
Cs3 Cs 0.066 0.623 0.391 1
Cs4 Cs 0.066 0.943 0.675 1
Cs5 Cs 0.109 0.732 0.675 1
Cs6 Cs 0.109 0.877 0.434 1
Cs7 Cs 0.123 0.057 0.232 1
Cs8 Cs 0.123 0.566 0.891 1
Cs9 Cs 0.175 0.232 0.609 1
Cs10 Cs 0.175 0.443 0.566 1
Cs11 Cs 0.232 0.123 0.057 1
Cs12 Cs 0.232 0.609 0.175 1
Cs13 Cs 0.268 0.325 0.891 1
Cs14 Cs 0.268 0.443 0.377 1
Cs15 Cs 0.325 0.891 0.268 1
Cs16 Cs 0.325 0.934 0.057 1
Cs17 Cs 0.377 0.268 0.443 1
Cs18 Cs 0.377 0.609 0.934 1
Cs19 Cs 0.391 0.066 0.623 1
Cs20 Cs 0.391 0.825 0.768 1
Cs21 Cs 0.434 0.109 0.877 1
Cs22 Cs 0.434 0.825 0.557 1
Cs23 Cs 0.443 0.377 0.268 1
Cs24 Cs 0.443 0.566 0.175 1
Cs25 Cs 0.557 0.434 0.825 1
Cs26 Cs 0.557 0.623 0.732 1
Cs27 Cs 0.566 0.175 0.443 1
Cs28 Cs 0.566 0.891 0.123 1
Cs29 Cs 0.609 0.175 0.232 1
Cs30 Cs 0.609 0.934 0.377 1
Cs31 Cs 0.623 0.391 0.066 1
Cs32 Cs 0.623 0.732 0.557 1
Cs33 Cs 0.675 0.066 0.943 1
Cs34 Cs 0.675 0.109 0.732 1
Cs35 Cs 0.732 0.557 0.623 1
Cs36 Cs 0.732 0.675 0.109 1
Cs37 Cs 0.768 0.391 0.825 1
Cs38 Cs 0.768 0.877 0.943 1
Cs39 Cs 0.825 0.557 0.434 1
Cs40 Cs 0.825 0.768 0.391 1
Cs41 Cs 0.877 0.434 0.109 1
Cs42 Cs 0.877 0.943 0.768 1
Cs43 Cs 0.891 0.123 0.566 1
Cs44 Cs 0.891 0.268 0.325 1
Cs45 Cs 0.934 0.057 0.325 1
Cs46 Cs 0.934 0.377 0.609 1
Cs47 Cs 0.943 0.675 0.066 1
Cs48 Cs 0.943 0.768 0.877 1
Ag1 Ag 0.000 0.000 0.000 1
Ag2 Ag 0.000 0.000 0.500 1
Ag3 Ag 0.000 0.500 0.000 1
Ag4 Ag 0.000 0.500 0.500 1
Ag5 Ag 0.125 0.750 0.875 1
Ag6 Ag 0.125 0.875 0.250 1
Ag7 Ag 0.250 0.125 0.875 1
Ag8 Ag 0.250 0.625 0.375 1
Ag9 Ag 0.375 0.250 0.625 1
Ag10 Ag 0.375 0.625 0.750 1
Ag11 Ag 0.500 0.000 0.000 1
Ag12 Ag 0.500 0.000 0.500 1
Ag13 Ag 0.500 0.500 0.000 1
Ag14 Ag 0.500 0.500 0.500 1
Ag15 Ag 0.625 0.375 0.250 1
Ag16 Ag 0.625 0.750 0.375 1
Ag17 Ag 0.750 0.375 0.625 1
Ag18 Ag 0.750 0.875 0.125 1
Ag19 Ag 0.875 0.125 0.750 1
Ag20 Ag 0.875 0.250 0.125 1
Cl1 Cl 0.125 0.250 0.375 1
Cl2 Cl 0.125 0.375 0.750 1
Cl3 Cl 0.250 0.375 0.125 1
Cl4 Cl 0.250 0.875 0.625 1
Cl5 Cl 0.375 0.125 0.250 1
Cl6 Cl 0.375 0.750 0.125 1
Cl7 Cl 0.625 0.250 0.875 1
Cl8 Cl 0.625 0.875 0.750 1
Cl9 Cl 0.750 0.125 0.375 1
Cl10 Cl 0.750 0.625 0.875 1
Cl11 Cl 0.875 0.625 0.250 1
Cl12 Cl 0.875 0.750 0.625 1
# ΔE_f (raw)   -402 meV per atom

---

Record 4
# Y4CoRh3 | Alexandria via LeMat-Bulk | GGA-PBE | relaxed
data_Y4CoRh3
_cell_length_a 3.404
_cell_length_b 3.404
_cell_length_c 13.825
_cell_angle_alpha 90.00
_cell_angle_beta 90.00
_cell_angle_gamma 90.00
_symmetry_space_group_name_H-M 'P 1'
_symmetry_Int_Tables_number 1
loop_
_symmetry_equiv_pos_as_xyz
'x,y,z'
loop_
_atom_site_label
_atom_site_type_symbol
_atom_site_fract_x
_atom_site_fract_y
_atom_site_fract_z
_atom_site_occupancy
Y1 Y 0.000 0.000 0.121 1
Y2 Y 0.000 0.000 0.374 1
Y3 Y 0.000 0.000 0.626 1
Y4 Y 0.000 0.000 0.879 1
Co1 Co 0.500 0.500 0.000 1
Rh1 Rh 0.500 0.500 0.249 1
Rh2 Rh 0.500 0.500 0.500 1
Rh3 Rh 0.500 0.500 0.751 1
# ΔE_f   -0.655 eV/atom

---

Record 5
# KLa2TmTe4 | Alexandria via LeMat-Bulk | GGA-PBE | relaxed
data_KLa2TmTe4
_cell_length_a 7.901
_cell_length_b 4.522
_cell_length_c 7.994
_cell_angle_alpha 90.00
_cell_angle_beta 108.72
_cell_angle_gamma 90.00
_symmetry_space_group_name_H-M 'P 1'
_symmetry_Int_Tables_number 1
loop_
_symmetry_equiv_pos_as_xyz
'x,y,z'
loop_
_atom_site_label
_atom_site_type_symbol
_atom_site_fract_x
_atom_site_fract_y
_atom_site_fract_z
_atom_site_occupancy
K1 K 0.000 0.000 0.000 1
La1 La 0.500 0.000 0.500 1
La2 La 0.500 0.500 0.000 1
Tm1 Tm 0.000 0.500 0.500 1
Te1 Te 0.237 0.000 0.733 1
Te2 Te 0.249 0.500 0.265 1
Te3 Te 0.751 0.500 0.735 1
Te4 Te 0.763 0.000 0.267 1
# ΔE_f (raw)   -1394 meV per atom

---

Record 6
# NaPrPCO7 | Alexandria via LeMat-Bulk | GGA-PBE | relaxed
data_NaPrPCO7
_cell_length_a 4.951
_cell_length_b 7.236
_cell_length_c 10.214
_cell_angle_alpha 90.00
_cell_angle_beta 91.58
_cell_angle_gamma 90.00
_symmetry_space_group_name_H-M 'P 1'
_symmetry_Int_Tables_number 1
loop_
_symmetry_equiv_pos_as_xyz
'x,y,z'
loop_
_atom_site_label
_atom_site_type_symbol
_atom_site_fract_x
_atom_site_fract_y
_atom_site_fract_z
_atom_site_occupancy
Na1 Na 0.204 0.000 0.280 1
Na2 Na 0.796 0.500 0.720 1
Pr1 Pr 0.222 0.126 0.863 1
Pr2 Pr 0.778 0.626 0.137 1
P1 P 0.312 0.633 0.920 1
P2 P 0.688 0.133 0.080 1
C1 C 0.277 0.217 0.573 1
C2 C 0.723 0.717 0.427 1
O1 O 0.042 0.227 0.624 1
O2 O 0.186 0.457 0.859 1
O3 O 0.207 0.806 0.848 1
O4 O 0.249 0.642 0.071 1
O5 O 0.307 0.193 0.452 1
O6 O 0.374 0.121 0.084 1
O7 O 0.479 0.229 0.656 1
O8 O 0.521 0.729 0.344 1
O9 O 0.626 0.621 0.916 1
O10 O 0.693 0.693 0.548 1
O11 O 0.751 0.142 0.929 1
O12 O 0.793 0.306 0.152 1
O13 O 0.814 0.957 0.141 1
O14 O 0.958 0.727 0.376 1
# ΔE_f (raw)   -2157 meV per atom